A relaxed structure of MgAl2Tc, computed with GGA-PBE.

```
data_MgAl2Tc
_chemical_formula_sum 'Mg2 Al4 Tc2'
_symmetry_space_group_name_H-M 'C m m m'
_symmetry_Int_Tables_number 65
_symmetry_space_group_name_Hall '-C 2 2'
_cell_length_a 5.554
_cell_length_b 8.000
_cell_length_c 2.830
_cell_angle_alpha 90.00
_cell_angle_beta 90.00
_cell_angle_gamma 90.00
loop_
_atom_site_label
_atom_site_type_symbol
_atom_site_fract_x
_atom_site_fract_y
_atom_site_fract_z
_atom_site_occupancy
Mg1 Mg 0.000 0.000 0.000 1
Al1 Al 0.250 0.250 0.500 1
Tc1 Tc 0.000 0.500 0.000 1
```

VASP energy ... -4.92 eV per atom
Total magnetic moment ... 0.01 μB per cell

A relaxed structure of MgAlTc2, computed with GGA-PBE.

```
data_MgAlTc2
_chemical_formula_sum 'Mg2 Al2 Tc4'
_symmetry_space_group_name_H-M 'I -4 m 2'
_symmetry_Int_Tables_number 119
_symmetry_space_group_name_Hall 'I -4 -2'
_cell_length_a 4.378
_cell_length_b 4.378
_cell_length_c 6.214
_cell_angle_alpha 90.00
_cell_angle_beta 90.00
_cell_angle_gamma 90.00
loop_
_atom_site_label
_atom_site_type_symbol
_atom_site_fract_x
_atom_site_fract_y
_atom_site_fract_z
_atom_site_occupancy
Mg1 Mg 0.000 0.000 0.000 1
Al1 Al 0.000 0.500 0.250 1
Tc1 Tc 0.000 0.000 0.500 1
Tc2 Tc 0.000 0.500 0.750 1
```

ΔE to the lowest computed polymorph ... 0.0365 eV per atom
VASP energy ... -6.65 eV per atom
Total magnetic moment ... 0.00 μB per cell

A relaxed structure of MgAlTc2, computed with GGA-PBE.

```
data_MgAlTc2
_chemical_formula_sum 'Mg3 Al3 Tc6'
_symmetry_space_group_name_H-M 'R -3 m'
_symmetry_Int_Tables_number 166
_symmetry_space_group_name_Hall '-R 3 2"'
_cell_length_a 2.8231
_cell_length_b 2.8231
_cell_length_c 26.7732
_cell_angle_alpha 90.00
_cell_angle_beta 90.00
_cell_angle_gamma 120.00
loop_
_atom_site_label
_atom_site_type_symbol
_atom_site_fract_x
_atom_site_fract_y
_atom_site_fract_z
_atom_site_occupancy
Mg1 Mg 0.0000 0.0000 0.0000 1
Al1 Al 0.0000 0.0000 0.5000 1
Tc1 Tc 0.0000 0.0000 0.2458 1
```

ΔE to the lowest computed polymorph ... 0.2470 eV per atom
VASP energy ... -6.44 eV per atom
Total magnetic moment ... 0.16 μB per cell

A relaxed structure of MgAlTc2, computed with GGA-PBE.

```
data_MgAlTc2
_chemical_formula_sum 'Mg2 Al2 Tc4'
_symmetry_space_group_name_H-M 'C 1 2/m 1'
_symmetry_Int_Tables_number 12
_cell_length_a 9.699
_cell_length_b 3.183
_cell_length_c 4.401
_cell_angle_alpha 90.00
_cell_angle_beta 116.76
_cell_angle_gamma 90.00
loop_
_symmetry_equiv_pos_as_xyz
'x,y,z'
'-x,-y,-z'
'-x,y,-z'
'x,-y,z'
'x+1/2,y+1/2,z'
'-x+1/2,-y+1/2,-z'
'-x+1/2,y+1/2,-z'
'x+1/2,-y+1/2,z'
loop_
_atom_site_label
_atom_site_type_symbol
_atom_site_fract_x
_atom_site_fract_y
_atom_site_fract_z
_atom_site_occupancy
Mg1 Mg 0.000 0.000 0.000 1
Al1 Al 0.000 0.500 0.500 1
Tc1 Tc 0.245 0.000 0.744 1
```

ΔE to the lowest computed polymorph ... 0.1991 eV per atom
VASP energy ... -6.49 eV per atom
Total magnetic moment ... 0.00 μB per cell

A relaxed structure of MgAl2Tc, computed with GGA-PBE.

```
data_MgAl2Tc
_chemical_formula_sum 'Mg2 Al4 Tc2'
_symmetry_space_group_name_H-M 'C 1 2/m 1'
_symmetry_Int_Tables_number 12
_cell_length_a 9.208
_cell_length_b 2.804
_cell_length_c 5.064
_cell_angle_alpha 90.00
_cell_angle_beta 98.48
_cell_angle_gamma 90.00
loop_
_symmetry_equiv_pos_as_xyz
'x,y,z'
'-x,-y,-z'
'-x,y,-z'
'x,-y,z'
'x+1/2,y+1/2,z'
'-x+1/2,-y+1/2,-z'
'-x+1/2,y+1/2,-z'
'x+1/2,-y+1/2,z'
loop_
_atom_site_label
_atom_site_type_symbol
_atom_site_fract_x
_atom_site_fract_y
_atom_site_fract_z
_atom_site_occupancy
Mg1 Mg 0.000 0.000 0.000 1
Al1 Al 0.237 0.000 0.724 1
Tc1 Tc 0.000 0.500 0.500 1
```

VASP energy ... -4.94 eV per atom
Total magnetic moment ... 0.00 μB per cell

A relaxed structure of MgAlTc, computed with GGA-PBE.

```
data_MgAlTc
_chemical_formula_sum 'Mg2 Al2 Tc2'
_symmetry_space_group_name_H-M 'I 4 m m'
_symmetry_Int_Tables_number 107
_symmetry_space_group_name_Hall 'I 4 -2'
_cell_length_a 2.796
_cell_length_b 2.796
_cell_length_c 12.707
_cell_angle_alpha 90.00
_cell_angle_beta 90.00
_cell_angle_gamma 90.00
loop_
_atom_site_label
_atom_site_type_symbol
_atom_site_fract_x
_atom_site_fract_y
_atom_site_fract_z
_atom_site_occupancy
Mg1 Mg 0.000 0.000 0.000 1
Al1 Al 0.000 0.000 0.689 1
Tc1 Tc 0.000 0.000 0.333 1
```

ΔE to the lowest computed polymorph ... 0.1217 eV per atom
VASP energy ... -5.16 eV per atom
Total magnetic moment ... 0.70 μB per cell

A relaxed structure of Mg3AlTc, computed with GGA-PBE.

```
data_Mg3AlTc
_chemical_formula_sum 'Mg3 Al1 Tc1'
_symmetry_space_group_name_H-M 'P m -3 m'
_symmetry_Int_Tables_number 221
_symmetry_space_group_name_Hall '-P 4 2 3'
_cell_length_a 5.016
_cell_length_b 5.016
_cell_length_c 5.016
_cell_angle_alpha 90.00
_cell_angle_beta 90.00
_cell_angle_gamma 90.00
loop_
_atom_site_label
_atom_site_type_symbol
_atom_site_fract_x
_atom_site_fract_y
_atom_site_fract_z
_atom_site_occupancy
Mg1 Mg 0.000 0.000 0.500 1
Al1 Al 0.000 0.000 0.000 1
Tc1 Tc 0.500 0.500 0.500 1
```

ΔE to the lowest computed polymorph ... 0.2377 eV per atom
VASP energy ... -2.67 eV per atom
Total magnetic moment ... 3.54 μB per cell

A relaxed structure of MgAlTc, computed with GGA-PBE.

```
data_MgAlTc
_chemical_formula_sum 'Mg2 Al2 Tc2'
_symmetry_space_group_name_H-M 'I m m 2'
_symmetry_Int_Tables_number 44
_cell_length_a 2.748
_cell_length_b 4.087
_cell_length_c 8.426
_cell_angle_alpha 90.00
_cell_angle_beta 90.00
_cell_angle_gamma 90.00
loop_
_symmetry_equiv_pos_as_xyz
'x,y,z'
'-x,-y,z'
'-x,y,z'
'x,-y,z'
'x+1/2,y+1/2,z+1/2'
'-x+1/2,-y+1/2,z+1/2'
'-x+1/2,y+1/2,z+1/2'
'x+1/2,-y+1/2,z+1/2'
loop_
_atom_site_label
_atom_site_type_symbol
_atom_site_fract_x
_atom_site_fract_y
_atom_site_fract_z
_atom_site_occupancy
Mg1 Mg 0.000 0.000 0.000 1
Al1 Al 0.000 0.000 0.679 1
Tc1 Tc 0.000 0.000 0.327 1
```

ΔE to the lowest computed polymorph ... 0.0308 eV per atom
VASP energy ... -5.25 eV per atom
Total magnetic moment ... 0.00 μB per cell

A relaxed structure of MgAlTc2, computed with GGA-PBE.

```
data_MgAlTc2
_chemical_formula_sum 'Mg4 Al4 Tc8'
_symmetry_space_group_name_H-M 'F m -3 m'
_symmetry_Int_Tables_number 225
_symmetry_space_group_name_Hall '-F 4 2 3'
_cell_length_a 6.209
_cell_length_b 6.209
_cell_length_c 6.209
_cell_angle_alpha 90.00
_cell_angle_beta 90.00
_cell_angle_gamma 90.00
loop_
_atom_site_label
_atom_site_type_symbol
_atom_site_fract_x
_atom_site_fract_y
_atom_site_fract_z
_atom_site_occupancy
Mg1 Mg 0.000 0.000 0.000 1
Al1 Al 0.000 0.000 0.500 1
Tc1 Tc 0.250 0.250 0.250 1
```

ΔE to the lowest computed polymorph ... 0.3420 eV per atom
VASP energy ... -6.35 eV per atom
Total magnetic moment ... 0.00 μB per cell

A relaxed structure of MgAl3Tc, computed with GGA-PBE.

```
data_MgAl3Tc
_chemical_formula_sum 'Mg1 Al3 Tc1'
_symmetry_space_group_name_H-M 'P m -3 m'
_symmetry_Int_Tables_number 221
_symmetry_space_group_name_Hall '-P 4 2 3'
_cell_length_a 4.757
_cell_length_b 4.757
_cell_length_c 4.757
_cell_angle_alpha 90.00
_cell_angle_beta 90.00
_cell_angle_gamma 90.00
loop_
_atom_site_label
_atom_site_type_symbol
_atom_site_fract_x
_atom_site_fract_y
_atom_site_fract_z
_atom_site_occupancy
Mg1 Mg 0.000 0.000 0.000 1
Al1 Al 0.000 0.500 0.500 1
Tc1 Tc 0.500 0.500 0.500 1
```

ΔE to the lowest computed polymorph ... 0.0000 eV per atom
VASP energy ... -4.46 eV per atom
Total magnetic moment ... 0.00 μB per cell

A relaxed structure of MgAl2Tc, computed with GGA-PBE.

```
data_MgAl2Tc
_chemical_formula_sum 'Mg4 Al8 Tc4'
_symmetry_space_group_name_H-M 'F -4 3 m'
_symmetry_Int_Tables_number 216
_symmetry_space_group_name_Hall 'F -4 2 3'
_cell_length_a 6.283
_cell_length_b 6.283
_cell_length_c 6.283
_cell_angle_alpha 90.00
_cell_angle_beta 90.00
_cell_angle_gamma 90.00
loop_
_atom_site_label
_atom_site_type_symbol
_atom_site_fract_x
_atom_site_fract_y
_atom_site_fract_z
_atom_site_occupancy
Mg1 Mg 0.000 0.000 0.000 1
Al1 Al 0.000 0.000 0.500 1
Al2 Al 0.250 0.250 0.250 1
Tc1 Tc 0.250 0.250 0.750 1
```

VASP energy ... -4.82 eV per atom
Total magnetic moment ... 0.00 μB per cell

A relaxed structure of MgAlTc2, computed with GGA-PBE.

```
data_MgAlTc2
_chemical_formula_sum 'Mg1 Al1 Tc2'
_symmetry_space_group_name_H-M 'P m m m'
_symmetry_Int_Tables_number 47
_cell_length_a 3.203
_cell_length_b 4.320
_cell_length_c 4.373
_cell_angle_alpha 90.00
_cell_angle_beta 90.00
_cell_angle_gamma 90.00
loop_
_symmetry_equiv_pos_as_xyz
'x,y,z'
'-x,-y,-z'
'-x,-y,z'
'x,y,-z'
'x,-y,-z'
'-x,y,z'
'-x,y,-z'
'x,-y,z'
loop_
_atom_site_label
_atom_site_type_symbol
_atom_site_fract_x
_atom_site_fract_y
_atom_site_fract_z
_atom_site_occupancy
Mg1 Mg 0.000 0.000 0.000 1
Al1 Al 0.500 0.000 0.500 1
Tc1 Tc 0.000 0.500 0.500 1
Tc2 Tc 0.500 0.500 0.000 1
```

ΔE to the lowest computed polymorph ... 0.2068 eV per atom
VASP energy ... -6.48 eV per atom
Total magnetic moment ... 0.00 μB per cell

A relaxed structure of MgAl2Tc, computed with GGA-PBE.

```
data_MgAl2Tc
_chemical_formula_sum 'Mg3 Al6 Tc3'
_symmetry_space_group_name_H-M 'R 3 m'
_symmetry_Int_Tables_number 160
_symmetry_space_group_name_Hall 'R 3 -2"'
_cell_length_a 2.9053
_cell_length_b 2.9053
_cell_length_c 27.2740
_cell_angle_alpha 90.00
_cell_angle_beta 90.00
_cell_angle_gamma 120.00
loop_
_atom_site_label
_atom_site_type_symbol
_atom_site_fract_x
_atom_site_fract_y
_atom_site_fract_z
_atom_site_occupancy
Mg1 Mg 0.0000 0.0000 0.0000 1
Al1 Al 0.0000 0.0000 0.5099 1
Al2 Al 0.0000 0.0000 0.7585 1
Tc1 Tc 0.0000 0.0000 0.2503 1
```

VASP energy ... -4.83 eV per atom
Total magnetic moment ... 1.67 μB per cell

A relaxed structure of Mg2AlTc2, computed with GGA-PBE.

```
data_Mg2AlTc2
_chemical_formula_sum 'Mg4 Al2 Tc4'
_symmetry_space_group_name_H-M 'P 4/m b m'
_symmetry_Int_Tables_number 127
_symmetry_space_group_name_Hall '-P 4 2ab'
_cell_length_a 6.429
_cell_length_b 6.429
_cell_length_c 4.328
_cell_angle_alpha 90.00
_cell_angle_beta 90.00
_cell_angle_gamma 90.00
loop_
_atom_site_label
_atom_site_type_symbol
_atom_site_fract_x
_atom_site_fract_y
_atom_site_fract_z
_atom_site_occupancy
Mg1 Mg 0.169 0.331 0.000 1
Al1 Al 0.000 0.000 0.500 1
Tc1 Tc 0.128 0.628 0.500 1
```

VASP energy ... -5.45 eV per atom
Total magnetic moment ... 0.00 μB per cell

A relaxed structure of MgAl2Tc, computed with GGA-PBE.

```
data_MgAl2Tc
_chemical_formula_sum 'Mg2 Al4 Tc2'
_symmetry_space_group_name_H-M 'C m m 2'
_symmetry_Int_Tables_number 35
_cell_length_a 3.300
_cell_length_b 4.532
_cell_length_c 8.797
_cell_angle_alpha 90.00
_cell_angle_beta 90.00
_cell_angle_gamma 90.00
loop_
_symmetry_equiv_pos_as_xyz
'x,y,z'
'-x,-y,z'
'-x,y,z'
'x,-y,z'
'x+1/2,y+1/2,z'
'-x+1/2,-y+1/2,z'
'-x+1/2,y+1/2,z'
'x+1/2,-y+1/2,z'
loop_
_atom_site_label
_atom_site_type_symbol
_atom_site_fract_x
_atom_site_fract_y
_atom_site_fract_z
_atom_site_occupancy
Mg1 Mg 0.000 0.000 0.000 1
Al1 Al 0.000 0.000 0.532 1
Al2 Al 0.000 0.500 0.277 1
Tc1 Tc 0.000 0.500 0.752 1
```

VASP energy ... -4.81 eV per atom
Total magnetic moment ... 0.00 μB per cell

A relaxed structure of MgAlTc2, computed with GGA-PBE.

```
data_MgAlTc2
_chemical_formula_sum 'Mg1 Al1 Tc2'
_symmetry_space_group_name_H-M 'P 1 m 1'
_symmetry_Int_Tables_number 6
_cell_length_a 2.817
_cell_length_b 4.298
_cell_length_c 5.251
_cell_angle_alpha 90.00
_cell_angle_beta 103.06
_cell_angle_gamma 90.00
loop_
_symmetry_equiv_pos_as_xyz
'x,y,z'
'x,-y,z'
loop_
_atom_site_label
_atom_site_type_symbol
_atom_site_fract_x
_atom_site_fract_y
_atom_site_fract_z
_atom_site_occupancy
Mg1 Mg 0.000 0.000 0.000 1
Al1 Al 0.317 0.500 0.752 1
Tc1 Tc 0.496 0.000 0.492 1
Tc2 Tc 0.731 0.500 0.282 1
```

ΔE to the lowest computed polymorph ... 0.2011 eV per atom
VASP energy ... -6.49 eV per atom
Total magnetic moment ... 0.00 μB per cell

A relaxed structure of MgAlTc, computed with GGA-PBE.

```
data_MgAlTc
_chemical_formula_sum 'Mg1 Al1 Tc1'
_symmetry_space_group_name_H-M 'P 3 m 1'
_symmetry_Int_Tables_number 156
_cell_length_a 4.4372
_cell_length_b 4.4372
_cell_length_c 2.7487
_cell_angle_alpha 90.00
_cell_angle_beta 90.00
_cell_angle_gamma 120.00
loop_
_symmetry_equiv_pos_as_xyz
'x,y,z'
'-y,x-y,z'
'-x+y,-x,z'
'-y,-x,z'
'-x+y,y,z'
'x,x-y,z'
loop_
_atom_site_label
_atom_site_type_symbol
_atom_site_fract_x
_atom_site_fract_y
_atom_site_fract_z
_atom_site_occupancy
Mg1 Mg 0.0000 0.0000 0.0000 1
Al1 Al 0.6667 0.3333 0.6710 1
Tc1 Tc 0.3333 0.6667 0.3875 1
```

ΔE to the lowest computed polymorph ... 0.0000 eV per atom
VASP energy ... -5.28 eV per atom
Total magnetic moment ... 0.00 μB per cell

A relaxed structure of MgAl2Tc, computed with GGA-PBE.

```
data_MgAl2Tc
_chemical_formula_sum 'Mg1 Al2 Tc1'
_symmetry_space_group_name_H-M 'P m m m'
_symmetry_Int_Tables_number 47
_cell_length_a 3.673
_cell_length_b 4.077
_cell_length_c 4.153
_cell_angle_alpha 90.00
_cell_angle_beta 90.00
_cell_angle_gamma 90.00
loop_
_symmetry_equiv_pos_as_xyz
'x,y,z'
'-x,-y,-z'
'-x,-y,z'
'x,y,-z'
'x,-y,-z'
'-x,y,z'
'-x,y,-z'
'x,-y,z'
loop_
_atom_site_label
_atom_site_type_symbol
_atom_site_fract_x
_atom_site_fract_y
_atom_site_fract_z
_atom_site_occupancy
Mg1 Mg 0.000 0.000 0.000 1
Al1 Al 0.000 0.500 0.500 1
Al2 Al 0.500 0.500 0.000 1
Tc1 Tc 0.500 0.000 0.500 1
```

VASP energy ... -4.94 eV per atom
Total magnetic moment ... 0.00 μB per cell

A relaxed structure of MgAlTc2, computed with GGA-PBE.

```
data_MgAlTc2
_chemical_formula_sum 'Mg2 Al2 Tc4'
_symmetry_space_group_name_H-M 'C m m 2'
_symmetry_Int_Tables_number 35
_cell_length_a 3.024
_cell_length_b 4.640
_cell_length_c 9.051
_cell_angle_alpha 90.00
_cell_angle_beta 90.00
_cell_angle_gamma 90.00
loop_
_symmetry_equiv_pos_as_xyz
'x,y,z'
'-x,-y,z'
'-x,y,z'
'x,-y,z'
'x+1/2,y+1/2,z'
'-x+1/2,-y+1/2,z'
'-x+1/2,y+1/2,z'
'x+1/2,-y+1/2,z'
loop_
_atom_site_label
_atom_site_type_symbol
_atom_site_fract_x
_atom_site_fract_y
_atom_site_fract_z
_atom_site_occupancy
Mg1 Mg 0.000 0.000 0.000 1
Al1 Al 0.000 0.500 0.276 1
Tc1 Tc 0.000 0.000 0.512 1
Tc2 Tc 0.000 0.500 0.743 1
```

ΔE to the lowest computed polymorph ... 0.2767 eV per atom
VASP energy ... -6.41 eV per atom
Total magnetic moment ... 0.00 μB per cell

A relaxed structure of MgAl2Tc, computed with GGA-PBE.

```
data_MgAl2Tc
_chemical_formula_sum 'Mg4 Al8 Tc4'
_symmetry_space_group_name_H-M 'I -4 2 d'
_symmetry_Int_Tables_number 122
_symmetry_space_group_name_Hall 'I -4 2bw'
_cell_length_a 7.243
_cell_length_b 7.243
_cell_length_c 5.485
_cell_angle_alpha 90.00
_cell_angle_beta 90.00
_cell_angle_gamma 90.00
loop_
_atom_site_label
_atom_site_type_symbol
_atom_site_fract_x
_atom_site_fract_y
_atom_site_fract_z
_atom_site_occupancy
Mg1 Mg 0.000 0.000 0.000 1
Al1 Al 0.217 0.250 0.625 1
Tc1 Tc 0.000 0.000 0.500 1
```

VASP energy ... -4.50 eV per atom
Total magnetic moment ... 0.30 μB per cell

Quick rundown of DOS at the Fermi energy, same order as above: 6.5 4.7 16.6 6.5 4.8 6.7 3.7 3.7 29.9 2.3 13.7 2.8 6.9 9.5 2.2 3.6 2.1 3.2 6.6 9.4 states/eV per cell
Quick rundown of volume, same order as above: 126 119 185 121 129 99 126 95 239 108 248 61 199 179 132 62 47 62 127 288 Å³/cell
Quick rundown of DFT formation energy, same order as above: -0.060 -0.138 0.073 0.025 -0.082 0.076 1.104 -0.014 0.168 0.178 0.046 0.033 0.035 0.085 0.047 0.027 -0.045 -0.074 0.103 0.366 eV/atom